A plane-wave DFT calculation with PBE was carried out for a relaxed Nd4Ho5Cd crystal.

Values from the calculation:
Final energy = -0.154 hartree per atom

```
10
Lattice="-5.3746 5.3746 2.8770 5.3746 -5.3746 2.8770 5.3746 5.3746 -2.8770" Properties=species:S:1:pos:R:3 pbc="T T T"
Nd 3.4042 0.0000 0.0000
Nd 7.3450 0.0000 0.0000
Nd 0.0000 3.4042 0.0000
Nd 0.0000 7.3450 0.0000
Ho 3.4030 3.4030 0.0602
Ho 1.9716 -1.9716 2.9371
Ho -1.9716 1.9716 2.9371
Ho 1.9716 1.9716 2.9371
Ho 0.0000 0.0000 4.6664
Cd 0.0000 0.0000 1.6855
```